Here is a relaxed structure of YSi2AgCl from the Alexandria database. Energies are from PBE-GGA.

```
YSi2AgCl
1.0
4.847 0.000 0.000
0.000 4.847 0.000
0.000 0.000 4.847
Y Si Ag Cl
1 2 1 1
Direct
0.000 0.000 0.000
0.000 0.500 0.500
0.500 0.000 0.500
0.500 0.500 0.000
0.500 0.500 0.500
```

- Space group: No. 123
- Uncorrected energy: -3.881 eV/atom
- E_form (uncorrected): 520 meV per atom
- Volume: 113.9 Å³ per cell

***

Here is a relaxed structure of Rb2AgSb4Au3 from the Alexandria database. Energies are from PBE-GGA.

```
Rb2AgSb4Au3
1.0
4.929 0.000 0.000
0.000 4.929 0.000
0.000 0.000 11.390
Rb Ag Sb Au
2 1 4 3
Direct
0.000 0.500 0.245
0.500 0.000 0.755
0.500 0.500 0.000
0.000 0.000 0.500
0.000 0.500 0.871
0.500 0.000 0.129
0.500 0.500 0.500
0.000 0.000 0.000
0.000 0.500 0.628
0.500 0.000 0.372
```

- Space group: No. 115
- Uncorrected energy: -3.363 eV/atom
- E_form (uncorrected): -252 meV per atom
- Volume: 276.7 Å³ per cell

***

Here is a relaxed structure of PmGdPaSn from the Alexandria database. Energies are from PBE-GGA.

```
PmGdPaSn
1.0
7.623 0.000 0.000
0.000 7.623 0.000
0.000 0.000 7.623
Pm Gd Pa Sn
4 4 4 4
Direct
0.000 0.000 0.000
0.000 0.500 0.500
0.500 0.000 0.500
0.500 0.500 0.000
0.000 0.000 0.500
0.000 0.500 0.000
0.500 0.000 0.000
0.500 0.500 0.500
0.250 0.250 0.250
0.250 0.750 0.750
0.750 0.250 0.750
0.750 0.750 0.250
0.250 0.250 0.750
0.250 0.750 0.250
0.750 0.250 0.250
0.750 0.750 0.750
```

- Space group: No. 216
- Uncorrected energy: -8.076 eV/atom
- Volume: 442.9 Å³ per cell
- DFT formation energy: 0.67 kJ/mol of atoms

***

Here is a relaxed structure of Cs3K2SrBr6 from the Alexandria database. Energies are from PBE-GGA.

```
Cs3K2SrBr6
1.0
4.270 -7.395 0.000
4.270 7.395 0.000
-2.827 0.000 8.566
Cs K Sr Br
3 2 1 6
Direct
0.000 0.000 0.000
0.330 0.670 0.000
0.670 0.330 0.000
0.166 0.834 0.500
0.834 0.166 0.500
0.500 0.500 0.500
0.127 0.432 0.297
0.264 0.264 0.707
0.432 0.127 0.297
0.568 0.873 0.703
0.736 0.736 0.293
0.873 0.568 0.703
```

- Space group: No. 12
- Uncorrected energy: -3.066 eV/atom
- E_form (uncorrected): -1693 meV per atom
- Volume: 541.1 Å³ per cell

***

Here is a relaxed structure of K2AgP2O6 from the Alexandria database. Energies are from PBE-GGA.

```
K2AgP2O6
1.0
2.908 1.679 5.987
-2.908 1.679 5.987
0.000 -3.358 5.987
K Ag P O
2 1 2 6
Direct
0.217 0.217 0.217
0.783 0.783 0.783
0.000 0.000 0.000
0.435 0.435 0.435
0.565 0.565 0.565
0.269 0.269 0.717
0.269 0.717 0.269
0.283 0.731 0.731
0.717 0.269 0.269
0.731 0.283 0.731
0.731 0.731 0.283
```

- Space group: No. 166
- Uncorrected energy: -5.924 eV/atom
- E_form (uncorrected): -1777 meV per atom
- Volume: 175.4 Å³ per cell

***

Here is a relaxed structure of Y4ZnGa2 from the Alexandria database. Energies are from PBE-GGA.

```
Y4ZnGa2
1.0
7.068 0.000 0.000
0.000 7.068 0.000
0.000 0.000 7.190
Y Zn Ga
8 2 4
Direct
0.250 0.250 0.250
0.250 0.250 0.750
0.250 0.750 0.250
0.250 0.750 0.750
0.750 0.250 0.250
0.750 0.250 0.750
0.750 0.750 0.250
0.750 0.750 0.750
0.000 0.000 0.000
0.500 0.500 0.500
0.000 0.500 0.000
0.000 0.500 0.500
0.500 0.000 0.000
0.500 0.000 0.500
```

- Space group: No. 139
- Uncorrected energy: -5.156 eV/atom
- Volume: 359.2 Å³ per cell
- DFT formation energy: -40.05 kJ/mol of atoms

***

Here is a relaxed structure of Ac2La2Pm4Sm from the Alexandria database. Energies are from PBE-GGA.

```
Ac2La2Pm4Sm
1.0
9.769 -1.898 0.000
9.769 1.898 0.000
-4.382 0.000 9.065
Ac La Pm Sm
2 2 4 1
Direct
0.145 0.145 0.163
0.855 0.855 0.837
0.335 0.335 0.496
0.665 0.665 0.504
0.184 0.184 0.833
0.481 0.481 0.179
0.519 0.519 0.821
0.816 0.816 0.167
0.000 0.000 0.500
```

- Space group: No. 12
- Uncorrected energy: -4.619 eV/atom
- Volume: 336.1 Å³ per cell
- DFT formation energy: 2.34 kJ/mol of atoms

***

Here is a relaxed structure of AcTm3C from the Alexandria database. Energies are from PBE-GGA.

```
AcTm3C
1.0
5.058 0.000 0.000
0.000 5.058 0.000
0.000 0.000 5.058
Ac Tm C
1 3 1
Direct
0.000 0.000 0.000
0.000 0.500 0.500
0.500 0.000 0.500
0.500 0.500 0.000
0.500 0.500 0.500
```

- Space group: No. 221
- Uncorrected energy: -5.328 eV/atom
- Volume: 129.4 Å³ per cell
- DFT formation energy: 2.08 kJ/mol of atoms

***

Here is a relaxed structure of LiIn2Ag from the Alexandria database. Energies are from PBE-GGA.

```
LiIn2Ag
1.0
9.649 0.000 0.000
0.000 3.234 0.000
-0.894 0.000 5.377
Li In Ag
2 4 2
Direct
0.000 0.000 0.000
0.500 0.500 0.000
0.247 0.000 0.749
0.253 0.500 0.251
0.747 0.500 0.749
0.753 0.000 0.251
0.000 0.500 0.500
0.500 0.000 0.500
```

- Space group: No. 12
- Uncorrected energy: -2.670 eV/atom
- Volume: 167.8 Å³ per cell
- DFT formation energy: -10.55 kJ/mol of atoms

***

Here is a relaxed structure of HoLuW4 from the Alexandria database. Energies are from PBE-GGA.

```
HoLuW4
1.0
0.000 3.899 3.899
3.899 0.000 3.899
3.899 3.899 0.000
Ho Lu W
1 1 4
Direct
0.000 0.000 0.000
0.750 0.750 0.750
0.375 0.375 0.375
0.375 0.375 0.875
0.375 0.875 0.375
0.875 0.375 0.375
```

- Space group: No. 216
- Uncorrected energy: -10.052 eV/atom
- Volume: 118.5 Å³ per cell
- DFT formation energy: 9.62 kJ/mol of atoms

***

Here is a relaxed structure of PmYTl from the Alexandria database. Energies are from PBE-GGA.

```
PmYTl
1.0
5.305 0.000 0.000
-2.652 4.594 0.000
0.000 0.000 3.776
Pm Y Tl
1 1 1
Direct
0.000 0.000 0.000
0.667 0.333 0.534
0.333 0.667 0.381
```

- Space group: No. 156
- Uncorrected energy: -4.697 eV/atom
- Volume: 92.0 Å³ per cell
- Polymorph energy (0 for the lowest one): 0.123 eV per atom
- DFT formation energy: -16.42 kJ/mol of atoms

***

Here is a relaxed structure of Ho4O from the Alexandria database. Energies are from PBE-GGA.

```
Ho4O
1.0
4.908 0.000 0.000
0.000 4.908 0.000
0.000 0.000 4.908
Ho O
4 1
Direct
0.000 0.000 0.000
0.000 0.500 0.500
0.500 0.000 0.500
0.500 0.500 0.000
0.500 0.500 0.500
```

- Space group: No. 221
- Uncorrected energy: -5.754 eV/atom
- E_form (uncorrected): -1100 meV per atom
- Volume: 118.2 Å³ per cell

***

Here is a relaxed structure of CaLaSi2 from the Alexandria database. Energies are from PBE-GGA.

```
CaLaSi2
1.0
3.331 0.000 0.000
0.000 4.224 0.000
0.000 0.000 6.633
Ca La Si
1 1 2
Direct
0.000 0.000 0.000
0.000 0.000 0.500
0.500 0.500 0.211
0.500 0.500 0.789
```

- Space group: No. 47
- Uncorrected energy: -4.837 eV/atom
- E_form (uncorrected): -394 meV per atom
- Volume: 93.3 Å³ per cell